[1]
Computed, not measured: a geometry-optimized BaLiSb2Au structure at the PBE level of DFT.

Cell lengths 4.909, 4.909, 6.301 Å; angles 90.00, 90.00, 90.00 degrees
Fractional positions:
Ba (0.000, 0.000, 0.000)
Li (0.000, 0.000, 0.500)
Sb (0.000, 0.500, 0.500)
Sb (0.500, 0.000, 0.500)
Au (0.500, 0.500, 0.000)

Calculated values
The calculation puts the total magnetic moment at 0.00 Bohr magnetons per cell. As for the space group: P4/mmm, No. 123. Its uncorrected formation energy is -136.6 meV per atom. The raw total energy comes out at -3.2083 eV/atom.

***

[2]
Computed, not measured: a geometry-optimized CaGePd structure at the PBE level of DFT.

Cell lengths 7.800, 7.800, 7.800 Å; angles 147.74, 147.74, 46.26 degrees
Fractional positions:
Ca (0.000, 0.000, 0.000)
Ca (0.750, 0.250, 0.500)
Ge (0.334, 0.834, 0.500)
Ge (0.584, 0.584, 0.000)
Pd (0.163, 0.663, 0.500)
Pd (0.413, 0.413, 0.000)

Calculated values
The calculation puts the total magnetic moment at 0.00 Bohr magnetons per cell. As for the space group: I4_1md, No. 109. The raw total energy comes out at -4.6703 eV/atom.